Here is a geometry-optimized Tb2SmTh4 structure from Alexandria. Energies are from PBE.

Cell and atoms, written as POSCAR:
```
Tb2SmTh4
1.0
1.7890 -18.0960 0.0000
1.7890 18.0960 0.0000
0.0000 0.0000 3.5651
Tb Sm Th
2 1 4
direct
0.2076 0.7924 0.0000
0.7924 0.2076 0.0000
0.5000 0.5000 0.5000
0.0726 0.9274 0.0000
0.3598 0.6402 0.5000
0.6402 0.3598 0.5000
0.9274 0.0726 0.0000
```

## Properties
Its formation energy is 85 meV/atom.